Record 1
! K2Sn12Au7 PBE relaxed; values from VASP
&SYSTEM
  ibrav = 0, nat = 21, ntyp = 3
/
ATOMIC_SPECIES
Au 196.97 Au.upf
Sn 118.71 Sn.upf
K 39.10 K.upf
ATOMIC_POSITIONS crystal
Au 0.5000 0.4264 0.0655
Au 0.0000 0.2267 0.2541
Au 0.0000 0.0274 0.7733
Au 0.5000 0.9345 0.3608
Au 0.5000 0.6392 0.5736
Au 0.0000 0.7459 0.9726
Au 0.0000 0.3333 0.6667
Sn 0.5000 0.8944 0.6020
Sn 0.0000 0.9732 0.2271
Sn 0.5000 0.2173 0.4402
Sn 0.5000 0.7076 0.1056
Sn 0.0000 0.4813 0.9463
Sn 0.5000 0.5598 0.7771
Sn 0.0000 0.0537 0.5350
Sn 0.0000 0.2540 0.0268
Sn 0.0000 0.4650 0.5187
Sn 0.5000 0.3980 0.2924
Sn 0.5000 0.2229 0.7827
Sn 0.0000 0.7729 0.7460
K 0.5000 0.0000 0.0000
K 0.0000 0.6667 0.3333
CELL_PARAMETERS angstrom
-1.2606 -1.7848 4.0347
3.3267 -10.5620 -3.6329
7.6037 6.9500 5.4500
! * calculated formation energy: -0.206 eV per atom
! * symmetry: No. 174
! * E: -3.6903 eV per atom



Record 2
! K3Be2TcO6 PBE relaxed; values from VASP
&SYSTEM
  ibrav = 0, nat = 12, ntyp = 4
/
ATOMIC_SPECIES
O 16.00 O.upf
Be 9.01 Be.upf
Tc 98.00 Tc.upf
K 39.10 K.upf
ATOMIC_POSITIONS crystal
O 0.1705 0.8295 0.3252
O 0.3409 0.1705 0.6748
O 0.6591 0.8295 0.3252
O 0.8295 0.1705 0.6748
O 0.1705 0.3409 0.3252
O 0.8295 0.6591 0.6748
Be 0.3333 0.6667 0.3255
Be 0.6667 0.3333 0.6745
Tc 0.0000 0.0000 0.5000
K 0.0000 0.0000 0.0000
K 0.3333 0.6667 0.7355
K 0.6667 0.3333 0.2645
CELL_PARAMETERS angstrom
-0.9433 -4.9884 -2.0586
4.6938 1.0360 2.6280
-2.8407 -1.8591 5.8067
! * formation energy without anion corrections: -1827 meV/atom
! * symmetry: No. 164
! * E: -6.0656 eV per atom



Record 3
! BeAl2Mo PBE relaxed; values from VASP
&SYSTEM
  ibrav = 0, nat = 4, ntyp = 3
/
ATOMIC_SPECIES
Be 9.01 Be.upf
Al 26.98 Al.upf
Mo 95.94 Mo.upf
ATOMIC_POSITIONS crystal
Be 0.5001 0.5001 0.5000
Al 0.0000 0.0000 0.0000
Al 0.2498 0.2498 0.2500
Mo 0.7501 0.7501 0.7499
CELL_PARAMETERS angstrom
4.8580 -0.0096 -0.0035
3.5135 3.3550 -0.0035
1.3552 0.5416 3.3173
! * calculated formation energy: -0.260 eV per atom
! * symmetry: No. 119
! * E: -5.7701 eV per atom



Record 4
! PrTm2Sb PBE relaxed; values from VASP
&SYSTEM
  ibrav = 0, nat = 4, ntyp = 3
/
ATOMIC_SPECIES
Tm 168.93 Tm.upf
Sb 121.76 Sb.upf
Pr 140.91 Pr.upf
ATOMIC_POSITIONS crystal
Tm 0.0663 0.0663 0.8010
Tm 0.2667 0.2667 0.2000
Sb 0.6661 0.6661 0.0017
Pr 0.5009 0.5009 0.4974
CELL_PARAMETERS angstrom
-0.1799 -0.4836 3.9541
3.0682 -1.6388 1.9499
4.8081 7.9614 3.2031
! * relative energy among the computed polymorphs: 22.9 kJ per mole of atoms
! * formation energy without anion corrections: -313 meV/atom
! * symmetry: No. 160
! * E: -4.7744 eV per atom



Record 5
! LaCe2Zn8 PBE relaxed; values from VASP
&SYSTEM
  ibrav = 0, nat = 11, ntyp = 3
/
ATOMIC_SPECIES
Zn 65.41 Zn.upf
Ce 140.12 Ce.upf
La 138.91 La.upf
ATOMIC_POSITIONS crystal
Zn 0.2974 0.7975 0.5949
Zn 0.7542 0.4996 0.0000
Zn 0.7026 0.2025 0.4051
Zn 0.8762 0.6508 0.7530
Zn 0.8769 0.1023 0.7530
Zn 0.1231 0.8977 0.2470
Zn 0.2458 0.5004 0.0000
Zn 0.1238 0.3492 0.2470
Ce 0.3069 0.3069 0.6138
Ce 0.6931 0.6931 0.3862
La 0.5000 0.0000 0.0000
CELL_PARAMETERS angstrom
4.7472 -0.0014 -1.2846
-0.7021 5.5840 -2.6157
-0.2872 0.4300 8.3614
! * calculated formation energy: -0.262 eV per atom
! * symmetry: No. 71
! * E: -2.7149 eV per atom



Record 6
! LiHoScRu PBE relaxed; values from VASP
&SYSTEM
  ibrav = 0, nat = 4, ntyp = 4
/
ATOMIC_SPECIES
Ho 164.93 Ho.upf
Li 6.94 Li.upf
Sc 44.96 Sc.upf
Ru 101.07 Ru.upf
ATOMIC_POSITIONS crystal
Ho 0.0000 0.0000 0.0000
Li 0.2500 0.2500 0.2500
Sc 0.5000 0.5000 0.5000
Ru 0.7500 0.7500 0.7500
CELL_PARAMETERS angstrom
4.7570 0.0000 0.0000
2.3785 4.1197 0.0000
2.3785 1.3732 3.8841
! * calculated formation energy: -0.314 eV per atom
! * symmetry: No. 216
! * E: -5.8388 eV per atom